Compound: CeNdPa2P4
Source: Alexandria
Functional: PBE-GGA
Structure: relaxed

## Properties
As for the formation energy: -1.42 eV per atom. As for the space group: P2/m (10).

a b c (Å): 4.037 7.018 6.994
angles (deg): 70.58 90.00 90.00
Site moments in Bohr magnetons follow the coordinates.
Fractional coordinates of all 8 atoms:
P1 0.500 0.762 0.248  -0.01
P2 0.500 0.238 0.752  -0.01
Pa1 0.500 0.000 0.500  0.01
Ce1 0.000 0.500 0.500  0.36
P3 0.000 0.764 0.743  0.00
P4 0.000 0.236 0.257  0.00
Nd1 0.500 0.500 0.000  0.00
Pa2 0.000 0.000 0.000  0.09